InAs2Cl at its PBEsol-relaxed geometry. Source: Alexandria via LeMat-Bulk, functional meta-GGA SCAN.

Cell lengths 3.299, 4.533, 6.251 Å; angles 111.26, 105.30, 90.00 degrees
Fractional positions:
Cl 0.500 0.000 0.000
In 0.000 0.500 0.000
As 0.283 0.283 0.566
As 0.717 0.717 0.434

SG: Immm
Relative energy among the computed polymorphs, meV/atom: 0